[1]
YCd2Sb2 | GGA-PBE | optimized geometry

Properties
The uncorrected formation energy is -1.07 eV/f.u. The value obtained for the volume is 269 Å³ per cell. The calculation puts the total magnetization at 0.00 Bohr magnetons per cell. As for the space-group type: P4/mbm (127).

Cell: 8.1235 8.1235 4.0726 Å, 90.00 90.00 90.00°
With the nearest neighbours (Å) after each atom.
Fractional coordinates of all 10 atoms:
Sb: 0.6531 0.1531 0.0000  6 Cd 3.06-3.18, 2 Y 3.08
Cd: 0.8519 0.3519 0.5000  6 Sb 3.06-3.18, 1 Cd 3.40
Y: 0.0000 0.0000 0.0000  4 Sb 3.08
Sb: 0.8469 0.6531 0.0000  6 Cd 3.06-3.18, 2 Y 3.08
Sb: 0.1531 0.3469 0.0000  6 Cd 3.06-3.18, 2 Y 3.08
Sb: 0.3469 0.8469 0.0000  6 Cd 3.06-3.18, 2 Y 3.08
Cd: 0.3519 0.1481 0.5000  6 Sb 3.06-3.18, 1 Cd 3.40
Y: 0.5000 0.5000 0.0000  4 Sb 3.08
Cd: 0.1481 0.6481 0.5000  6 Sb 3.06-3.18, 1 Cd 3.40
Cd: 0.6481 0.8519 0.5000  6 Sb 3.06-3.18, 1 Cd 3.40

=====

[2]
Y2CdSb2 | GGA-PBE | optimized geometry

Properties
The uncorrected formation energy is -2.25 eV/f.u. The value obtained for the volume is 168 Å³ per cell. The calculation puts the total magnetization at 0.00 Bohr magnetons per cell. As for the space-group type: I4/mmm (139).

Cell: 5.4236 5.4236 6.8885 Å, 66.82 66.82 90.00°
With the nearest neighbours (Å) after each atom.
Fractional coordinates of all 5 atoms:
Sb: 0.6306 0.6306 0.7387  1 Sb 2.99, 4 Y 3.04
Y: 0.2500 0.7500 0.5000  4 Sb 3.04
Cd: 0.0000 0.0000 0.0000  8 Y 3.94, 10 Sb 4.12-4.23
Y: 0.7500 0.2500 0.5000  4 Sb 3.04
Sb: 0.3694 0.3694 0.2613  1 Sb 2.99, 4 Y 3.04

=====

[3]
YCdSb2 | GGA-PBE | optimized geometry

Properties
The uncorrected formation energy is -1.47 eV/f.u. The value obtained for the volume is 117 Å³ per cell. The calculation puts the total magnetization at 0.00 Bohr magnetons per cell. As for the space-group type: R-3m (166).

Cell: 7.2866 7.2866 7.2866 Å, 35.64 35.64 35.64°
With the nearest neighbours (Å) after each atom.
Fractional coordinates of all 4 atoms:
Cd: 0.7500 0.7500 0.7500  6 Sb 3.07
Y: 0.2500 0.2500 0.2500  6 Sb 3.10
Sb: 0.4985 0.4985 0.4985  3 Cd 3.07, 3 Y 3.10
Sb: 0.0015 0.0015 0.0015  3 Cd 3.07, 3 Y 3.10

=====

[4]
YCdSb2 | GGA-PBE | optimized geometry

Properties
The uncorrected formation energy is -1.86 eV/f.u. The value obtained for the volume is 104 Å³ per cell. The calculation puts the total magnetization at 0.00 Bohr magnetons per cell. As for the space-group type: I-4m2 (119).

Cell: 6.2618 6.2618 6.2618 Å, 139.05 139.05 59.30°
With the nearest neighbours (Å) after each atom.
Fractional coordinates of all 4 atoms:
Cd: 0.7500 0.2500 0.5000  4 Sb 3.10
Sb: 0.0000 0.0000 0.0000  4 Y 3.10
Sb: 0.2500 0.7500 0.5000  4 Cd 3.10
Y: 0.5000 0.5000 0.0000  4 Sb 3.10